No. 1
Computed, not measured: a relaxed PmZn6Ge2 crystal at the GGA-PBE level of DFT. Values from VASP.

## Properties
E: -0.1912 Ry/atom
DFT formation energy: -0.20 eV per atom
Fermi-level density of states: 1.4 states/eV/cell
Symmetry: P4/mmm (123)
Calculated volume: 17.5 Å³/atom
Theoretical density: 7.2 g cm⁻³

The structure in Quantum ESPRESSO input format:
```
&SYSTEM
  ibrav = 0, nat = 9, ntyp = 3
/
ATOMIC_SPECIES
Pm 145.00 Pm.upf
Zn 65.41 Zn.upf
Ge 72.64 Ge.upf
ATOMIC_POSITIONS angstrom
Pm 0.000 0.000 0.000
Zn 0.000 2.034 2.923
Zn 2.034 0.000 2.923
Zn 0.000 2.034 6.578
Zn 2.034 0.000 6.578
Zn 2.034 2.034 4.751
Zn 0.000 0.000 4.751
Ge 2.034 2.034 1.292
Ge 2.034 2.034 8.210
CELL_PARAMETERS angstrom
4.069 0.000 0.000
0.000 4.069 0.000
0.000 0.000 9.502
```

No. 2
Computed, not measured: a relaxed Pm3ZnGe4 crystal at the GGA-PBE level of DFT. Values from VASP.

## Properties
E: -0.3555 Ry/atom
DFT formation energy: -0.59 eV per atom
Fermi-level density of states: 3.8 states/eV/cell
Symmetry: Immm (71)
Calculated volume: 25.0 Å³/atom
Theoretical density: 6.6 g cm⁻³

The structure in Quantum ESPRESSO input format:
```
&SYSTEM
  ibrav = 0, nat = 8, ntyp = 3
/
ATOMIC_SPECIES
Pm 145.00 Pm.upf
Zn 65.41 Zn.upf
Ge 72.64 Ge.upf
ATOMIC_POSITIONS angstrom
Pm 0.000 0.000 2.884
Pm 2.209 2.981 4.709
Pm 0.000 2.981 0.000
Zn 2.209 0.000 0.000
Ge 0.000 1.236 5.712
Ge 2.209 1.744 1.882
Ge 2.209 4.217 1.882
Ge 0.000 -1.236 5.712
CELL_PARAMETERS angstrom
4.418 0.000 0.000
0.000 5.961 0.000
-2.209 -2.981 7.593
```

No. 3
Computed, not measured: a relaxed Pm3Zn6Ge5 crystal at the GGA-PBE level of DFT. Values from VASP.

## Properties
E: -0.2693 Ry/atom
DFT formation energy: -0.45 eV per atom
Fermi-level density of states: 4.7 states/eV/cell
Symmetry: Pmmn (59)
Calculated volume: 19.4 Å³/atom
Theoretical density: 7.3 g cm⁻³

The structure in Quantum ESPRESSO input format:
```
&SYSTEM
  ibrav = 0, nat = 28, ntyp = 3
/
ATOMIC_SPECIES
Pm 145.00 Pm.upf
Zn 65.41 Zn.upf
Ge 72.64 Ge.upf
ATOMIC_POSITIONS angstrom
Pm -6.765 -5.222 1.850
Pm -1.892 -6.532 -4.857
Pm -8.937 -9.532 -1.661
Pm 0.326 -2.247 -1.390
Pm -5.421 -7.990 -3.233
Pm -3.202 -3.705 0.234
Zn -7.662 -12.563 -1.365
Zn -8.040 -2.192 1.554
Zn -9.413 -6.301 0.342
Zn -0.399 -3.795 -4.441
Zn -4.696 -6.442 -0.181
Zn -6.289 -8.453 -0.153
Zn -2.739 -6.941 -1.764
Zn 0.200 -7.919 -6.992
Zn -0.402 -9.470 -4.659
Zn -2.356 -3.296 -2.859
Zn -5.295 -2.318 2.370
Zn -4.693 -0.766 0.036
Ge -8.481 -8.493 1.307
Ge -5.976 -10.562 -1.462
Ge 1.054 -7.253 -4.487
Ge -7.221 -6.262 -1.118
Ge -6.148 -2.984 -0.136
Ge -0.791 -5.217 -2.181
Ge -4.303 -5.019 -2.441
Ge -2.439 -9.055 -3.067
Ge -9.727 -4.193 1.652
Ge -2.656 -1.181 -1.556
CELL_PARAMETERS angstrom
-2.139 1.649 -3.167
1.279 -8.802 -5.445
-10.607 -4.518 4.812
```

No. 4
Computed, not measured: a relaxed PmZnGe2 crystal at the GGA-PBE level of DFT. Values from VASP.

## Properties
E: -0.3122 Ry/atom
DFT formation energy: -0.43 eV per atom
Fermi-level density of states: 1.4 states/eV/cell
Symmetry: P4/mmm (123)
Calculated volume: 20.4 Å³/atom
Theoretical density: 7.2 g cm⁻³

The structure in Quantum ESPRESSO input format:
```
&SYSTEM
  ibrav = 0, nat = 4, ntyp = 3
/
ATOMIC_SPECIES
Ge 72.64 Ge.upf
Zn 65.41 Zn.upf
Pm 145.00 Pm.upf
ATOMIC_POSITIONS angstrom
Ge 0.000 0.000 2.206
Ge 0.000 2.206 0.000
Zn 2.097 2.206 2.206
Pm 2.097 0.000 0.000
CELL_PARAMETERS angstrom
4.193 0.000 0.000
0.000 4.413 0.000
0.000 0.000 4.413
```

No. 5
Computed, not measured: a relaxed PmZrZnGe crystal at the GGA-PBE level of DFT. Values from VASP.

## Properties
E: -0.3789 Ry/atom
DFT formation energy: -0.36 eV per atom
Fermi-level density of states: 3.9 states/eV/cell
Symmetry: F-43m (216)
Calculated volume: 21.4 Å³/atom
Theoretical density: 7.3 g cm⁻³

The structure in Quantum ESPRESSO input format:
```
&SYSTEM
  ibrav = 0, nat = 4, ntyp = 4
/
ATOMIC_SPECIES
Ge 72.64 Ge.upf
Zn 65.41 Zn.upf
Zr 91.22 Zr.upf
Pm 145.00 Pm.upf
ATOMIC_POSITIONS angstrom
Ge 2.473 1.428 1.010
Zn 7.420 4.284 3.029
Zr 4.947 2.856 2.020
Pm 0.000 0.000 0.000
CELL_PARAMETERS angstrom
4.947 0.000 0.000
2.473 4.284 0.000
2.473 1.428 4.039
```

No. 6
Computed, not measured: a relaxed PmZr2Ge2 crystal at the GGA-PBE level of DFT. Values from VASP.

## Properties
E: -0.4870 Ry/atom
DFT formation energy: -0.41 eV per atom
Fermi-level density of states: 9.0 states/eV/cell
Symmetry: C2/c (15)
Calculated volume: 24.9 Å³/atom
Theoretical density: 6.3 g cm⁻³

The structure in Quantum ESPRESSO input format:
```
&SYSTEM
  ibrav = 0, nat = 10, ntyp = 3
/
ATOMIC_SPECIES
Pm 145.00 Pm.upf
Zr 91.22 Zr.upf
Ge 72.64 Ge.upf
ATOMIC_POSITIONS angstrom
Pm 3.477 2.398 4.348
Pm -0.442 1.923 1.449
Zr -1.245 4.954 3.068
Zr 1.700 5.206 0.838
Zr 4.280 -0.633 2.729
Zr 1.336 -0.885 4.959
Ge -1.008 0.001 3.679
Ge 1.960 0.236 1.449
Ge 1.075 4.085 4.348
Ge 4.043 4.320 2.118
CELL_PARAMETERS angstrom
7.084 0.571 0.669
-1.866 6.857 0.669
-2.183 -3.107 4.460
```

No. 7
Computed, not measured: a relaxed PmZrGe2 crystal at the GGA-PBE level of DFT. Values from VASP.

## Properties
E: -0.4592 Ry/atom
DFT formation energy: -0.61 eV per atom
Fermi-level density of states: 2.8 states/eV/cell
Symmetry: P4/mmm (123)
Calculated volume: 21.7 Å³/atom
Theoretical density: 7.3 g cm⁻³

The structure in Quantum ESPRESSO input format:
```
&SYSTEM
  ibrav = 0, nat = 4, ntyp = 3
/
ATOMIC_SPECIES
Ge 72.64 Ge.upf
Zr 91.22 Zr.upf
Pm 145.00 Pm.upf
ATOMIC_POSITIONS angstrom
Ge 0.000 0.000 4.993
Ge 0.000 0.000 1.310
Zr 1.854 1.854 0.000
Pm 1.854 1.854 3.151
CELL_PARAMETERS angstrom
3.708 0.000 0.000
0.000 3.708 0.000
0.000 0.000 6.303
```

No. 8
Computed, not measured: a relaxed PmZr4Ge4 crystal at the GGA-PBE level of DFT. Values from VASP.

## Properties
E: -0.5094 Ry/atom
DFT formation energy: -0.55 eV per atom
Fermi-level density of states: 9.3 states/eV/cell
Symmetry: P4_2/n (86)
Calculated volume: 24.0 Å³/atom
Theoretical density: 6.2 g cm⁻³

The structure in Quantum ESPRESSO input format:
```
&SYSTEM
  ibrav = 0, nat = 18, ntyp = 3
/
ATOMIC_SPECIES
Pm 145.00 Pm.upf
Zr 91.22 Zr.upf
Ge 72.64 Ge.upf
ATOMIC_POSITIONS angstrom
Pm 0.000 0.000 0.000
Pm 2.696 4.476 4.476
Zr 2.098 3.218 7.930
Zr 4.795 5.498 7.695
Zr 2.098 5.734 1.022
Zr 0.598 1.258 5.498
Zr 3.294 7.930 5.734
Zr 0.598 7.695 3.454
Zr 4.795 3.454 1.258
Zr 3.294 1.022 3.218
Ge 3.231 7.184 3.129
Ge 3.231 1.768 5.823
Ge 0.535 7.605 6.244
Ge 4.857 2.708 7.605
Ge 4.857 6.244 1.347
Ge 2.161 3.129 1.768
Ge 2.161 5.823 7.184
Ge 0.535 1.347 2.708
CELL_PARAMETERS angstrom
5.392 0.000 0.000
0.000 8.952 0.000
0.000 0.000 8.952
```